Entry 1:
{"formula": "Y2Pt9Au", "functional": "PBE-GGA", "state": "optimized geometry", "lattice": [[4.0936, 0.0000, 0.0000], [0.0000, 4.0936, 0.0000], [0.0000, 0.0000, 12.2953]], "species": ["Y", "Y", "Pt", "Pt", "Pt", "Pt", "Pt", "Pt", "Pt", "Pt", "Pt", "Au"], "frac_coords": [[0.0000, 0.0000, 0.1696], [0.0000, 0.0000, 0.8304], [0.0000, 0.5000, 0.0000], [0.0000, 0.5000, 0.3380], [0.0000, 0.5000, 0.6620], [0.5000, 0.0000, 0.0000], [0.5000, 0.0000, 0.3380], [0.5000, 0.0000, 0.6620], [0.5000, 0.5000, 0.1689], [0.5000, 0.5000, 0.5000], [0.5000, 0.5000, 0.8311], [0.0000, 0.0000, 0.5000]], "spacegroup": "No. 123", "formation_energy_ev_per_atom": -0.63}

Entry 2:
{"formula": "Pm6Ho2Er3Sc", "functional": "PBE-GGA", "state": "optimized geometry", "lattice": [[3.0945, -5.3582, 0.0000], [3.0945, 5.3582, 0.0000], [-2.0567, 0.0000, 11.4997]], "species": ["Pm", "Pm", "Pm", "Pm", "Pm", "Pm", "Ho", "Ho", "Er", "Er", "Er", "Sc"], "frac_coords": [[0.0825, 0.4132, 0.7480], [0.2483, 0.2483, 0.2518], [0.4132, 0.0825, 0.7480], [0.5868, 0.9175, 0.2520], [0.7517, 0.7517, 0.7482], [0.9175, 0.5868, 0.2520], [0.3333, 0.6667, 0.5000], [0.6667, 0.3333, 0.5000], [0.1666, 0.8334, 0.0000], [0.5000, 0.5000, 0.0000], [0.8334, 0.1666, 0.0000], [0.0000, 0.0000, 0.5000]], "spacegroup": "No. 12", "formation_energy_ev_per_atom": 0.02}

Number 1: spin magnetization 0.000 μB per atom. Number 2: spin magnetization 0.000 μB per atom.